Record 1
The following is a DFT calculation (GGA-PBE) of a relaxed EuTlPb2 crystal.

Unit cell a=4.9377 b=4.9377 c=4.9387 alpha=90.00 beta=90.00 gamma=90.00
Sites, in units of the cell vectors:
Eu1 0.0000 0.0000 0.0000
Tl1 0.5000 0.5000 0.0000
Pb1 0.0000 0.5000 0.5000
Pb2 0.5000 0.0000 0.5000

As for the density: 10.63 Mg/m³. Its crystal system is tetragonal. As for the space group: No. 123. Its formation energy is -0.3447 eV per atom. The density of states at the Fermi level is 3.00 states/eV/cell.

---

Record 2
The following is a DFT calculation (GGA-PBE) of a relaxed AcGa2O4 crystal.

Unit cell a=5.7455 b=5.8613 c=7.0632 alpha=99.42 beta=106.90 gamma=104.79
Sites, in units of the cell vectors:
Ac1 0.0000 0.0000 0.0000
Ac2 0.3107 0.6820 0.5070
Ga1 0.3614 0.5850 0.9885
Ga2 0.6789 0.4177 0.2020
Ga3 0.7374 0.3904 0.7212
Ga4 0.7733 0.0030 0.3745
O1 0.0742 0.6242 0.7878
O2 0.4248 0.8830 0.1997
O3 0.5637 0.4088 0.4468
O4 0.5914 0.6602 0.8331
O5 0.7036 0.2598 0.9452
O6 0.7806 0.0548 0.6373
O7 0.9130 0.7646 0.2852
O8 0.9581 0.2803 0.3209

As for the density: 6.72 Mg/m³. The energy relative to the elements, uncorrected comes out at -15.763 eV/f.u. Its crystal system is triclinic. As for the space group: No. 1. The density of states at the Fermi level is 0.00 states/eV/cell. As for the energy above the most stable polymorph in this dataset: 0 meV/atom.

---

Record 3
The following is a DFT calculation (GGA-PBE) of a relaxed HoMg2Ga2Au2 crystal.

Unit cell a=8.3213 b=8.3213 c=8.3213 alpha=31.61 beta=31.61 gamma=31.61
Sites, in units of the cell vectors:
Ho1 0.0000 0.0000 0.0000
Mg1 0.1336 0.1336 0.1336
Mg2 0.8664 0.8664 0.8664
Ga1 0.3998 0.3998 0.3998
Ga2 0.6002 0.6002 0.6002
Au1 0.2528 0.2528 0.2528
Au2 0.7472 0.7472 0.7472

As for the density: 8.82 Mg/m³. Its crystal system is trigonal. As for the space group: No. 166. Its formation energy is -0.5569 eV per atom. The density of states at the Fermi level is 3.24 states/eV/cell.

---

Record 4
The following is a DFT calculation (GGA-PBE) of a relaxed CsNaGe3 crystal.

Unit cell a=5.4100 b=5.4100 c=5.4100 alpha=90.00 beta=90.00 gamma=90.00
Sites, in units of the cell vectors:
Cs1 0.0000 0.0000 0.0000
Na1 0.5000 0.5000 0.5000
Ge1 0.0000 0.5000 0.5000
Ge2 0.5000 0.0000 0.5000
Ge3 0.5000 0.5000 0.0000

As for the density: 3.92 Mg/m³. Its crystal system is cubic. As for the space group: No. 221. Its formation energy is 0.7631 eV per atom. The density of states at the Fermi level is 3.33 states/eV/cell. As for the energy above the most stable polymorph in this dataset: 0 meV/atom.

---

Record 5
The following is a DFT calculation (GGA-PBE) of a relaxed Ac2AsRh3 crystal.

Unit cell a=4.2650 b=4.3631 c=7.6780 alpha=90.00 beta=90.00 gamma=90.00
Sites, in units of the cell vectors:
Ac1 0.0000 0.0000 0.0000
Ac2 0.5000 0.0000 0.4845
As1 0.0000 0.5000 0.6652
Rh1 0.0000 0.5000 0.3436
Rh2 0.5000 0.5000 0.1604
Rh3 0.5000 0.5000 0.8281

As for the density: 9.74 Mg/m³. Its crystal system is orthorhombic. As for the space group: No. 25. Its formation energy is -0.7494 eV per atom. The density of states at the Fermi level is 5.68 states/eV/cell. As for the energy above the most stable polymorph in this dataset: 0 meV/atom.

---

Record 6
The following is a DFT calculation (GGA-PBE) of a relaxed Tl2Cu5S4 crystal.

Unit cell a=8.6207 b=6.8548 c=6.5596 alpha=79.95 beta=51.53 gamma=48.52
Sites, in units of the cell vectors:
Tl1 0.1527 0.1527 0.8473
Tl2 0.8473 0.8473 0.1527
Cu1 0.0000 0.0000 0.5000
Cu2 0.2500 0.2500 0.2500
Cu3 0.5000 0.5000 0.0000
Cu4 0.5000 0.5000 0.5000
Cu5 0.7500 0.7500 0.7500
S1 0.2194 0.5256 0.4744
S2 0.4744 0.7806 0.2194
S3 0.5256 0.2194 0.7806
S4 0.7806 0.4744 0.5256

As for the density: 6.83 Mg/m³. The energy relative to the elements, uncorrected comes out at -1.215 eV/f.u. Its crystal system is orthorhombic. As for the space group: No. 69. The density of states at the Fermi level is 6.34 states/eV/cell.

---

Record 7
The following is a DFT calculation (GGA-PBE) of a relaxed CoTcTe crystal.

Unit cell a=3.7572 b=3.7572 c=8.7509 alpha=90.00 beta=90.00 gamma=120.00
Sites, in units of the cell vectors:
Co1 0.0000 0.0000 0.0000
Co2 0.3333 0.6667 0.5000
Tc1 0.3333 0.6667 0.1400
Tc2 0.3333 0.6667 0.8600
Te1 0.0000 0.0000 0.3210
Te2 0.0000 0.0000 0.6790

As for the density: 8.83 Mg/m³. The energy relative to the elements, uncorrected comes out at 1.141 eV/f.u. Its crystal system is hexagonal. As for the space group: No. 187. The density of states at the Fermi level is 5.52 states/eV/cell. As for the energy above the most stable polymorph in this dataset: 22 meV/atom.

---

Record 8
The following is a DFT calculation (GGA-PBE) of a relaxed SrMgSi2 crystal.

Unit cell a=4.2853 b=3.8772 c=6.1557 alpha=90.00 beta=110.36 gamma=90.00
Sites, in units of the cell vectors:
Sr1 0.0000 0.0000 0.0000
Mg1 0.2681 0.5000 0.5386
Si1 0.6022 0.5000 0.2044
Si2 0.7308 0.0000 0.4608

As for the density: 2.91 Mg/m³. The energy relative to the elements, uncorrected comes out at -0.873 eV/f.u. Its crystal system is monoclinic. As for the space group: No. 6. The density of states at the Fermi level is 1.62 states/eV/cell.

---

Among the records above, which one has the highest density? EuTlPb2